# 1
{
  "formula": "K2RhF2",
  "functional": "PBE",
  "state": "relaxed",
  "e_above_lowest_polymorph_kj_per_mol_atoms": 0.0,
  "e_form_raw_ev_per_atom": -1.374,
  "lattice_angstrom": [[5.4398, 0.0000, 0.0000], [0.0000, 5.4398, 0.0000], [0.0000, 0.0000, 8.9297]],
  "species": ["K", "K", "K", "K", "Rh", "Rh", "F", "F", "F", "F"],
  "fractional_positions": [[0.0000, 0.5000, 0.2500], [0.0000, 0.5000, 0.7500], [0.5000, 0.0000, 0.2500], [0.5000, 0.0000, 0.7500], [0.0000, 0.0000, 0.0000], [0.5000, 0.5000, 0.5000], [0.0000, 0.0000, 0.2269], [0.0000, 0.0000, 0.7731], [0.5000, 0.5000, 0.2731], [0.5000, 0.5000, 0.7269]]
}


# 2
{
  "formula": "CuBRh2Au",
  "functional": "PBE",
  "state": "relaxed",
  "e_above_lowest_polymorph_kj_per_mol_atoms": 0.0,
  "formation_enthalpy_0k_ev_per_fu": 0.1,
  "lattice_angstrom": [[4.1098, 0.0000, 0.0000], [0.0000, 4.1098, 0.0000], [0.0000, 0.0000, 4.0345]],
  "species": ["Cu", "B", "Rh", "Rh", "Au"],
  "fractional_positions": [[0.0000, 0.0000, 0.0000], [0.0000, 0.0000, 0.5000], [0.0000, 0.5000, 0.5000], [0.5000, 0.0000, 0.5000], [0.5000, 0.5000, 0.0000]]
}


# 3
{
  "formula": "BaZnCdHg2",
  "functional": "PBE",
  "state": "relaxed",
  "e_above_lowest_polymorph_kj_per_mol_atoms": 8.8,
  "formation_enthalpy_0k_ev_per_fu": -1.0,
  "lattice_angstrom": [[5.3671, 0.0000, 0.0000], [0.0000, 5.3671, 0.0000], [0.0000, 0.0000, 5.1924]],
  "species": ["Ba", "Zn", "Cd", "Hg", "Hg"],
  "fractional_positions": [[0.0000, 0.0000, 0.0000], [0.5000, 0.5000, 0.5000], [0.5000, 0.5000, 0.0000], [0.0000, 0.5000, 0.5000], [0.5000, 0.0000, 0.5000]]
}


# 4
{
  "formula": "Al2Fe2Rh",
  "functional": "PBE",
  "state": "relaxed",
  "e_above_lowest_polymorph_kj_per_mol_atoms": 1.8,
  "formation_enthalpy_0k_ev_per_fu": -0.9,
  "lattice_angstrom": [[6.9160, 0.0000, 0.0000], [0.0000, 6.9160, 0.0000], [0.0000, 0.0000, 2.7569]],
  "species": ["Al", "Al", "Al", "Al", "Fe", "Fe", "Fe", "Fe", "Rh", "Rh"],
  "fractional_positions": [[0.1847, 0.3153, 0.0000], [0.3153, 0.8153, 0.0000], [0.6847, 0.1847, 0.0000], [0.8153, 0.6847, 0.0000], [0.1130, 0.6130, 0.5000], [0.3870, 0.1130, 0.5000], [0.6130, 0.8870, 0.5000], [0.8870, 0.3870, 0.5000], [0.0000, 0.0000, 0.5000], [0.5000, 0.5000, 0.5000]]
}


# 5
{
  "formula": "NbCuSi",
  "functional": "PBE",
  "state": "relaxed",
  "e_form_raw_ev_per_atom": -0.411,
  "lattice_angstrom": [[9.3402, 0.0000, 0.0000], [0.0000, 3.7234, 0.0000], [-3.8797, 0.0000, 4.9467]],
  "species": ["Nb", "Nb", "Nb", "Nb", "Cu", "Cu", "Cu", "Cu", "Si", "Si", "Si", "Si"],
  "fractional_positions": [[0.0754, 0.0000, 0.3366], [0.4246, 0.5000, 0.6634], [0.5754, 0.5000, 0.3366], [0.9246, 0.0000, 0.6634], [0.1589, 0.5000, 0.0827], [0.3411, 0.0000, 0.9173], [0.6589, 0.0000, 0.0827], [0.8411, 0.5000, 0.9173], [0.1575, 0.5000, 0.7027], [0.3425, 0.0000, 0.2973], [0.6575, 0.0000, 0.7027], [0.8425, 0.5000, 0.2973]]
}


# 6
{
  "formula": "CsLaHfCl2",
  "functional": "PBE",
  "state": "relaxed",
  "e_form_raw_ev_per_atom": 0.659,
  "lattice_angstrom": [[5.8574, 0.0000, 0.0000], [0.0000, 5.8574, 0.0000], [0.0000, 0.0000, 6.9240]],
  "species": ["Cs", "La", "Hf", "Cl", "Cl"],
  "fractional_positions": [[0.0000, 0.0000, 0.0000], [0.0000, 0.0000, 0.5000], [0.5000, 0.5000, 0.5000], [0.0000, 0.5000, 0.0000], [0.5000, 0.0000, 0.0000]]
}


Please write out number 5 again, unchanged.
{
  "formula": "NbCuSi",
  "functional": "PBE",
  "state": "relaxed",
  "e_form_raw_ev_per_atom": -0.411,
  "lattice_angstrom": [[9.3402, 0.0000, 0.0000], [0.0000, 3.7234, 0.0000], [-3.8797, 0.0000, 4.9467]],
  "species": ["Nb", "Nb", "Nb", "Nb", "Cu", "Cu", "Cu", "Cu", "Si", "Si", "Si", "Si"],
  "fractional_positions": [[0.0754, 0.0000, 0.3366], [0.4246, 0.5000, 0.6634], [0.5754, 0.5000, 0.3366], [0.9246, 0.0000, 0.6634], [0.1589, 0.5000, 0.0827], [0.3411, 0.0000, 0.9173], [0.6589, 0.0000, 0.0827], [0.8411, 0.5000, 0.9173], [0.1575, 0.5000, 0.7027], [0.3425, 0.0000, 0.2973], [0.6575, 0.0000, 0.7027], [0.8425, 0.5000, 0.2973]]
}


What did the third record say?
{
  "formula": "BaZnCdHg2",
  "functional": "PBE",
  "state": "relaxed",
  "e_above_lowest_polymorph_kj_per_mol_atoms": 8.8,
  "formation_enthalpy_0k_ev_per_fu": -1.0,
  "lattice_angstrom": [[5.3671, 0.0000, 0.0000], [0.0000, 5.3671, 0.0000], [0.0000, 0.0000, 5.1924]],
  "species": ["Ba", "Zn", "Cd", "Hg", "Hg"],
  "fractional_positions": [[0.0000, 0.0000, 0.0000], [0.5000, 0.5000, 0.5000], [0.5000, 0.5000, 0.0000], [0.0000, 0.5000, 0.5000], [0.5000, 0.0000, 0.5000]]
}


- Which formula does entry 5 have?
  NbCuSi


- Which formula does entry 4 have?
  Al2Fe2Rh